Record 1
# LuPuAu2

A relaxed structure of LuPuAu2 (PBE, Alexandria via LeMat-Bulk).

E_tot: -28.03 eV/f.u.
symmetry: P4/mmm, No. 123
V: 91.6 Å³/cell
ΔE_f: -0.66 eV/atom
DOS(E_F): 9.7 states/eV/cell
relative energy among the computed polymorphs: 0 meV/atom

Lattice parameters (Å, degrees): 3.5123 3.5123 7.4220 90.00 90.00 90.00
With the nearest neighbours (Å) after each atom.
Positions (direct):
Lu (0.0000, 0.0000, 0.0000)  8 Au 2.99
Pu (0.0000, 0.0000, 0.5000)  8 Au 3.22, 4 Pu 3.51
Au (0.5000, 0.5000, 0.2249)  4 Lu 2.99, 4 Pu 3.22, 1 Au 3.34
Au (0.5000, 0.5000, 0.7751)  4 Lu 2.99, 4 Pu 3.22, 1 Au 3.34

---

Record 2
# Lu2PuAu

A relaxed structure of Lu2PuAu (PBE, Alexandria via LeMat-Bulk).

E_tot: -27.52 eV/f.u.
symmetry: P4/mmm, No. 123
V: 95.9 Å³/cell
ΔE_f: -0.22 eV/atom
DOS(E_F): 7.2 states/eV/cell
relative energy among the computed polymorphs: 134 meV/atom

Lattice parameters (Å, degrees): 5.1919 5.1919 3.5587 90.00 90.00 90.00
With the nearest neighbours (Å) after each atom.
Positions (direct):
Lu (0.0000, 0.5000, 0.0000)  4 Pu 3.15, 4 Au 3.15
Lu (0.5000, 0.0000, 0.0000)  4 Pu 3.15, 4 Au 3.15
Pu (0.0000, 0.0000, 0.5000)  8 Lu 3.15
Au (0.5000, 0.5000, 0.5000)  8 Lu 3.15

---

Q: The highest E_tot belongs to which entry?
A: Lu2PuAu